# 1
Entry from the Alexandria database: SiNi2Pd after structural relaxation (PBE).

a = 3.651 Å, b = 3.640 Å, c = 3.640 Å
α = 90.00°, β = 90.00°, γ = 90.00°
Sites, in units of the cell vectors:
1 Ni 0.000 0.000 0.500
2 Ni 0.000 0.500 0.000
3 Pd 0.500 0.500 0.500
4 Si 0.500 0.000 0.000

uncorrected formation energy: -381 meV per atom
M_tot: 0.00 μB/f.u.

---

# 2
Entry from the Alexandria database: DyScCoNi after structural relaxation (PBE).

a = 4.601 Å, b = 4.601 Å, c = 4.601 Å
α = 60.00°, β = 60.00°, γ = 60.00°
Sites, in units of the cell vectors:
1 Ni 0.250 0.250 0.250
2 Dy 0.000 0.000 0.000
3 Sc 0.500 0.500 0.500
4 Co 0.750 0.750 0.750

M_tot: 0.00 μB/f.u.
ΔH_f (0 K): -0.316 eV/atom

---

# 3
Entry from the Alexandria database: Pr2ZnPt after structural relaxation (PBE).

a = 3.705 Å, b = 3.705 Å, c = 7.243 Å
α = 90.00°, β = 90.00°, γ = 90.00°
Sites, in units of the cell vectors:
1 Pr 0.000 0.000 0.760
2 Pr 0.000 0.000 0.240
3 Zn 0.500 0.500 0.500
4 Pt 0.500 0.500 0.000

M_tot: 0.00 μB/f.u.
ΔH_f (0 K): -0.656 eV/atom